A plane-wave DFT calculation with GGA-PBE was carried out for crystalline PmThIrSe at its relaxed geometry.

The structure belongs to space group R3m (No. 160, hexagonal axes); the cell edges are 4.1088, 4.1088 and 22.2705 Å and the angles 90.00°, 90.00° and 120.00°. The asymmetric unit holds Pm at (0.0000, 0.0000, 0.0000), Th at (0.0000, 0.0000, 0.1892), Ir at (0.0000, 0.0000, 0.5903) and Se at (0.0000, 0.0000, 0.7613).

The value obtained for the total energy is -0.2715 Ha/atom. As for the formation energy without anion corrections: -1.260 eV per atom.

A plane-wave DFT calculation with GGA-PBE was carried out for crystalline Pm8SiIr2 at its relaxed geometry.

The structure belongs to space group C2/m (No. 12); the cell edges are 17.954, 4.993 and 7.105 Å and the angles 90.00°, 106.65° and 90.00°. The asymmetric unit holds Pm at (0.035, 0.000, 0.277), Pm at (0.094, 0.500, 0.950), Pm at (0.170, 0.500, 0.460), Pm at (0.202, 0.000, 0.815), Si at (0.000, 0.500, 0.500) and Ir at (0.191, 0.000, 0.208).

The value obtained for the total energy is -0.2188 Ha/atom. As for the formation energy without anion corrections: -0.394 eV per atom.

A plane-wave DFT calculation with GGA-PBE was carried out for crystalline PmSi2Ir3 at its relaxed geometry.

The structure belongs to space group C2/m (No. 12); the cell edges are 16.031, 4.010 and 9.833 Å and the angles 90.00°, 108.11° and 90.00°. The asymmetric unit holds Pm at (0.000, 0.000, 0.000), Pm at (0.158, 0.000, 0.699), Si at (0.034, 0.500, 0.777), Si at (0.138, 0.500, 0.448), Si at (0.198, 0.000, 0.129), Ir at (0.000, 0.500, 0.500), Ir at (0.042, 0.000, 0.332), Ir at (0.124, 0.500, 0.201), Ir at (0.176, 0.500, 0.957) and Ir at (0.220, 0.000, 0.393).

The value obtained for the total energy is -0.2910 Ha/atom. As for the formation energy without anion corrections: -0.889 eV per atom.

A plane-wave DFT calculation with GGA-PBE was carried out for crystalline Pm5Si2Ir at its relaxed geometry.

The structure belongs to space group Immm (No. 71); the cell edges are 3.650, 7.960 and 14.684 Å and the angles 90.00°, 90.00° and 90.00°. The asymmetric unit holds Pm at (0.000, 0.000, 0.000), Pm at (0.000, 0.206, 0.372), Si at (0.000, 0.000, 0.200) and Ir at (0.000, 0.500, 0.000).

The value obtained for the total energy is -0.2138 Ha/atom. As for the formation energy without anion corrections: -0.385 eV per atom.